PBE with a Hubbard U CrN3O8, relaxed; electronic total energy = -4.858 eV per atom; crystal system = tetragonal; N(E_F) = 7.399 states/eV/f.u.
1.0
-6.2465 1.1088 2.2811
1.6430 -5.5885 3.3943
4.2281 5.1507 1.0224
N O Cr
3 8 1
Direct
0.2500 0.7500 0.5000
0.5000 0.5000 0.0000
0.7500 0.2500 0.5000
0.9904 0.7137 0.0000
0.2863 0.2863 0.2766
0.7137 0.9904 0.0000
0.1930 0.1930 0.3770
0.0096 0.0096 0.7234
0.8070 0.1840 0.0000
0.1840 0.8070 0.0000
0.8160 0.8160 0.6230
0.0000 0.0000 0.0000